Here is an optimized crystal structure of Ho4Te2CSe from the Alexandria database. Energies are from PBE-GGA.

## Properties
DFT total energy	-5.89	eV/atom
formation energy (no corrections)	-1226	meV per atom

Structure (POSCAR):
```
Ho4Te2CSe
1.0
3.971 0.000 0.000
0.000 7.306 -0.269
0.000 2.450 6.608
Ho Te C Se
4 2 1 1
direct
0.000 0.702 0.728
0.000 0.298 0.272
0.500 0.695 0.296
0.500 0.305 0.704
0.000 0.000 0.000
0.500 0.000 0.500
0.000 0.500 0.500
0.500 0.500 0.000
```